Entry from the Alexandria database: Zr2CrTe after structural relaxation (PBE).

```
Zr2CrTe
1.0
5.966 0.000 0.000
0.000 7.918 0.000
0.000 0.000 3.467
Zr Cr Te
4 2 2
Direct
0.250 0.250 0.000
0.250 0.750 0.000
0.750 0.250 0.000
0.750 0.750 0.000
0.000 0.000 0.500
0.500 0.500 0.500
0.000 0.500 0.500
0.500 0.000 0.500
```

Computed properties:
Raw formation energy ... -0.49 eV/f.u.
Crystal system ... orthorhombic

=====

Entry from the Alexandria database: Ce2LuAg after structural relaxation (PBE).

```
Ce2LuAg
1.0
3.345 0.000 0.000
0.000 3.345 0.000
0.000 0.000 9.723
Ce Lu Ag
2 1 1
Direct
0.000 0.000 0.229
0.000 0.000 0.771
0.500 0.500 0.500
0.500 0.500 0.000
```

Computed properties:
Formation energy from the elements ... 56 meV/atom
Crystal system ... tetragonal

=====

Entry from the Alexandria database: CdAgHg4 after structural relaxation (PBE).

```
CdAgHg4
1.0
0.000 4.241 4.241
4.241 0.000 4.241
4.241 4.241 0.000
Cd Ag Hg
1 1 4
Direct
0.000 0.000 0.000
0.250 0.250 0.250
0.126 0.625 0.625
0.625 0.126 0.625
0.625 0.625 0.126
0.625 0.625 0.625
```

Computed properties:
Formation energy from the elements ... 257 meV/atom
Crystal system ... cubic

=====

no.,total energy (Ry/atom)
1,-0.5576
2,-0.3494
3,-0.0420